Record 1
Compound: CeYCCl
Source: the Alexandria database
Functional: PBE
Structure: optimized geometry

Unit cell a=3.6344 b=3.6344 c=21.5117 alpha=90.00 beta=90.00 gamma=120.00
With the nearest neighbours (Å) after each atom.
Space group R3m (No. 160, hexagonal axes)
One atom of each set of equivalent atoms:
Ce 0.0000 0.0000 0.0000 [3 per cell]  3 C 2.52
Y 0.0000 0.0000 0.7926 [3 per cell]  3 C 2.47
C 0.0000 0.0000 0.3986 [3 per cell]  3 Y 2.47, 3 Ce 2.52
Cl 0.0000 0.0000 0.2206 [3 per cell]  3 Y 2.92, 3 Ce 3.21

Output
The formation energy without anion corrections comes out at -1.036 eV per atom.

=====

Record 2
Compound: Nd2Ga3GeRh4
Source: the Alexandria database
Functional: PBE
Structure: optimized geometry

Unit cell a=4.3578 b=4.3578 c=9.8712 alpha=90.00 beta=90.00 gamma=90.00
With the nearest neighbours (Å) after each atom.
Space group P-4m2 (No. 115)
One atom of each set of equivalent atoms:
Nd 0.0000 0.5000 0.2413 [2 per cell]  8 Rh 3.23-3.36, 6 Ga 3.29-3.36, 2 Ge 3.36
Ga 0.0000 0.5000 0.8748 [2 per cell]  5 Rh 2.48-2.50
Ga 0.5000 0.5000 0.5000 [1 per cell]  4 Rh 2.50
Ge 0.0000 0.0000 0.5000 [1 per cell]  4 Rh 2.50
Rh 0.0000 0.0000 0.0000 [1 per cell]  4 Ga 2.50
Rh 0.0000 0.5000 0.6233 [2 per cell]  3 Ga 2.48-2.50, 2 Ge 2.50
Rh 0.5000 0.5000 0.0000 [1 per cell]  4 Ga 2.50

Output
The value obtained for the energy relative to the elements is -0.81 eV per atom.

=====

Record 3
Compound: TaTc2P
Source: the Alexandria database
Functional: PBE
Structure: optimized geometry

Unit cell a=7.1078 b=7.1078 c=5.1186 alpha=90.00 beta=90.00 gamma=90.00
With the nearest neighbours (Å) after each atom.
Space group I-42d (No. 122)
One atom of each set of equivalent atoms:
Ta 0.0000 0.0000 0.0000 [4 per cell]  2 P 2.56
Tc 0.1708 0.2500 0.6250 [8 per cell]  2 P 2.25
P 0.0000 0.0000 0.5000 [4 per cell]  4 Tc 2.25

Output
The value obtained for the energy relative to the elements is 0.09 eV per atom.

=====

Record 4
Compound: SrBe3
Source: the Alexandria database
Functional: PBE
Structure: optimized geometry

Unit cell a=4.0745 b=3.8754 c=4.8209 alpha=90.00 beta=90.56 gamma=90.00
With the nearest neighbours (Å) after each atom.
Space group P2/m (No. 10)
One atom of each set of equivalent atoms:
Sr 0.0000 0.0000 0.0000 [1 per cell]  12 Be 3.14-3.27
Be 0.2608 0.5000 0.5027 [2 per cell]  4 Be 1.95-2.17
Be 0.5000 0.0000 0.5000 [1 per cell]  4 Be 2.17

Output
The value obtained for the energy relative to the elements is 0.40 eV per atom. For the polymorph energy (0 for the lowest one), the calculation gives 259 meV per atom.

=====

Record 5
Compound: Ba12Zn3Cl5
Source: the Alexandria database
Functional: PBE
Structure: optimized geometry

Unit cell a=19.5213 b=19.5213 c=19.5213 alpha=90.00 beta=90.00 gamma=90.00
With the nearest neighbours (Å) after each atom.
Space group Ia-3d (No. 230)
One atom of each set of equivalent atoms:
Ba 0.0259 0.0682 0.6527 [96 per cell]  2 Cl 3.02-3.30
Zn 0.0000 0.2500 0.1250 [24 per cell]  8 Ba 3.63-3.75
Cl 0.0000 0.0000 0.0000 [16 per cell]  6 Ba 3.30
Cl 0.0000 0.2500 0.3750 [24 per cell]  4 Ba 3.02

Output
The formation energy without anion corrections comes out at -0.845 eV per atom.

=====

Record 6
Compound: AlRe2Os
Source: the Alexandria database
Functional: PBE
Structure: optimized geometry

Unit cell a=2.8264 b=2.8264 c=7.2789 alpha=90.00 beta=90.00 gamma=90.00
With the nearest neighbours (Å) after each atom.
Space group P4/mmm (No. 123)
One atom of each set of equivalent atoms:
Al 0.0000 0.0000 0.0000 [1 per cell]  8 Re 2.69, 4 Al 2.83
Re 0.5000 0.5000 0.2480 [2 per cell]  4 Al 2.69, 4 Os 2.71, 4 Re 2.83
Os 0.0000 0.0000 0.5000 [1 per cell]  8 Re 2.71, 4 Os 2.83

Output
The value obtained for the energy relative to the elements is -0.03 eV per atom.